[1]
Compound: Er4Al2Ga
Source: the Alexandria database
Functional: PBE-GGA
Structure: relaxed

Summary:
- SG: R-3m (166)

Unit cell a=8.6779 b=8.6779 c=8.6779 alpha=33.52 beta=33.52 gamma=33.52
Last column: nearest neighbours and their distance in Å.
Fractional positions:
Er (0.1215, 0.1215, 0.1215)  4 Al 3.04-3.15, 3 Ga 3.10
Er (0.3730, 0.3730, 0.3730)  4 Al 3.02-3.08, 1 Ga 3.12
Er (0.6270, 0.6270, 0.6270)  4 Al 3.02-3.08, 1 Ga 3.12
Er (0.8785, 0.8785, 0.8785)  4 Al 3.04-3.15, 3 Ga 3.10
Al (0.2499, 0.2499, 0.2499)  8 Er 3.02-3.15
Al (0.7501, 0.7501, 0.7501)  8 Er 3.02-3.15
Ga (0.5000, 0.5000, 0.5000)  8 Er 3.10-3.12

[2]
Compound: ErAlGa2
Source: the Alexandria database
Functional: PBE-GGA
Structure: relaxed

Summary:
- SG: P4/mmm (123)

Unit cell a=4.2732 b=4.2732 c=4.1795 alpha=90.00 beta=90.00 gamma=90.00
Last column: nearest neighbours and their distance in Å.
Fractional positions:
Er (0.0000, 0.0000, 0.0000)  8 Ga 2.99, 4 Al 3.02
Al (0.5000, 0.5000, 0.0000)  8 Ga 2.99, 4 Er 3.02
Ga (0.0000, 0.5000, 0.5000)  4 Er 2.99, 4 Al 2.99, 4 Ga 3.02
Ga (0.5000, 0.0000, 0.5000)  4 Er 2.99, 4 Al 2.99, 4 Ga 3.02

[3]
Compound: ErAl4Ga
Source: the Alexandria database
Functional: PBE-GGA
Structure: relaxed

Summary:
- SG: C2/m (12)

Unit cell a=10.2765 b=4.5825 c=5.8847 alpha=90.00 beta=124.80 gamma=90.00
Last column: nearest neighbours and their distance in Å.
Fractional positions:
Er (0.0000, 0.0000, 0.0000)  2 Ga 2.94, 12 Al 3.09-3.15
Er (0.5000, 0.5000, 0.0000)  2 Ga 2.94, 12 Al 3.09-3.15
Al (0.1681, 0.5000, 0.4246)  4 Al 2.68-2.86
Al (0.1679, 0.5000, 0.9097)  4 Al 2.68-2.86
Al (0.3321, 0.0000, 0.0903)  4 Al 2.68-2.86
Al (0.3319, 0.0000, 0.5754)  4 Al 2.68-2.86
Al (0.6681, 0.0000, 0.4246)  4 Al 2.68-2.86
Al (0.6679, 0.0000, 0.9097)  4 Al 2.68-2.86
Al (0.8321, 0.5000, 0.0903)  4 Al 2.68-2.86
Al (0.8319, 0.5000, 0.5754)  4 Al 2.68-2.86
Ga (0.0000, 0.0000, 0.5000)  2 Er 2.94, 12 Al 3.05-3.19
Ga (0.5000, 0.5000, 0.5000)  2 Er 2.94, 12 Al 3.05-3.19

[4]
Compound: Er3Al7Ga4
Source: the Alexandria database
Functional: PBE-GGA
Structure: relaxed

Summary:
- SG: C2/m (12)

Unit cell a=8.2362 b=8.2362 c=9.8553 alpha=124.49 beta=124.49 gamma=29.17
Last column: nearest neighbours and their distance in Å.
Fractional positions:
Er (0.0000, 0.0000, 0.0000)  6 Ga 3.12-3.14, 6 Al 3.42
Er (0.3205, 0.3205, 0.3151)  4 Ga 3.03-3.07, 10 Al 3.12-3.36
Er (0.6795, 0.6795, 0.6849)  4 Ga 3.03-3.07, 10 Al 3.12-3.36
Al (0.0000, 0.0000, 0.5000)  2 Ga 2.70, 6 Al 2.97-2.99
Al (0.1579, 0.1579, 0.4273)  3 Ga 2.65-2.70, 2 Al 2.80
Al (0.3216, 0.3216, 0.9770)  4 Ga 2.54-2.67, 1 Al 2.82
Al (0.4878, 0.4878, 0.7034)  3 Ga 2.59-2.68, 3 Al 2.80-2.82
Al (0.5122, 0.5122, 0.2966)  3 Ga 2.59-2.68, 3 Al 2.80-2.82
Al (0.6784, 0.6784, 0.0230)  4 Ga 2.54-2.67, 1 Al 2.82
Al (0.8421, 0.8421, 0.5727)  3 Ga 2.65-2.70, 2 Al 2.80
Ga (0.1192, 0.1192, 0.8380)  6 Al 2.55-2.70
Ga (0.3380, 0.3380, 0.7359)  5 Al 2.54-2.70
Ga (0.6620, 0.6620, 0.2641)  5 Al 2.54-2.70
Ga (0.8808, 0.8808, 0.1620)  6 Al 2.55-2.70

[5]
Compound: Er3Al2Ga3
Source: the Alexandria database
Functional: PBE-GGA
Structure: relaxed

Summary:
- SG: Cmcm (63)

Unit cell a=5.8433 b=5.8433 c=14.3868 alpha=90.00 beta=90.00 gamma=136.86
Last column: nearest neighbours and their distance in Å.
Fractional positions:
Er (0.0731, 0.9269, 0.6162)  6 Ga 2.99-3.14, 3 Al 3.14-3.16
Er (0.0731, 0.9269, 0.8838)  6 Ga 2.99-3.14, 3 Al 3.14-3.16
Er (0.3572, 0.6428, 0.7500)  5 Ga 3.04-3.15, 4 Al 3.16
Er (0.6428, 0.3572, 0.2500)  5 Ga 3.04-3.15, 4 Al 3.16
Er (0.9269, 0.0731, 0.1162)  6 Ga 2.99-3.14, 3 Al 3.14-3.16
Er (0.9269, 0.0731, 0.3838)  6 Ga 2.99-3.14, 3 Al 3.14-3.16
Al (0.2172, 0.7828, 0.0986)  4 Ga 2.58-2.74
Al (0.2172, 0.7828, 0.4014)  4 Ga 2.58-2.74
Al (0.7828, 0.2172, 0.5986)  4 Ga 2.58-2.74
Al (0.7828, 0.2172, 0.9014)  4 Ga 2.58-2.74
Ga (0.3553, 0.6447, 0.2500)  2 Al 2.64
Ga (0.3894, 0.6106, 0.5402)  3 Al 2.58-2.74, 1 Ga 2.67
Ga (0.3894, 0.6106, 0.9598)  3 Al 2.58-2.74, 1 Ga 2.67
Ga (0.6106, 0.3894, 0.0402)  3 Al 2.58-2.74, 1 Ga 2.67
Ga (0.6106, 0.3894, 0.4598)  3 Al 2.58-2.74, 1 Ga 2.67
Ga (0.6447, 0.3553, 0.7500)  2 Al 2.64

[6]
Compound: Er5Al4Ga
Source: the Alexandria database
Functional: PBE-GGA
Structure: relaxed

Summary:
- SG: P4/mmm (123)

Unit cell a=3.5418 b=3.5418 c=18.0386 alpha=90.00 beta=90.00 gamma=90.00
Last column: nearest neighbours and their distance in Å.
Fractional positions:
Er (0.0000, 0.0000, 0.0000)  8 Al 3.09
Er (0.0000, 0.0000, 0.1999)  8 Al 3.09
Er (0.0000, 0.0000, 0.4015)  4 Ga 3.07, 4 Al 3.10
Er (0.0000, 0.0000, 0.5985)  4 Ga 3.07, 4 Al 3.10
Er (0.0000, 0.0000, 0.8001)  8 Al 3.09
Al (0.5000, 0.5000, 0.1001)  8 Er 3.09
Al (0.5000, 0.5000, 0.3003)  8 Er 3.09-3.10
Al (0.5000, 0.5000, 0.6997)  8 Er 3.09-3.10
Al (0.5000, 0.5000, 0.8999)  8 Er 3.09
Ga (0.5000, 0.5000, 0.5000)  8 Er 3.07

[7]
Compound: Er4Al12Ga
Source: the Alexandria database
Functional: PBE-GGA
Structure: relaxed

Summary:
- SG: Im-3m (229)

Unit cell a=7.5300 b=7.5300 c=7.5300 alpha=109.47 beta=109.47 gamma=109.47
Last column: nearest neighbours and their distance in Å.
Fractional positions:
Er (0.0000, 0.0000, 0.5000)  12 Al 3.07-3.11
Er (0.0000, 0.5000, 0.0000)  12 Al 3.07-3.11
Er (0.5000, 0.0000, 0.0000)  12 Al 3.07-3.11
Er (0.5000, 0.5000, 0.5000)  12 Al 3.07-3.11
Al (0.0000, 0.3059, 0.3059)  1 Ga 2.66, 4 Al 2.75
Al (0.0000, 0.6941, 0.6941)  1 Ga 2.66, 4 Al 2.75
Al (0.2500, 0.5000, 0.7500)  8 Al 2.75-3.07, 4 Er 3.07
Al (0.2500, 0.7500, 0.5000)  8 Al 2.75-3.07, 4 Er 3.07
Al (0.3059, 0.0000, 0.3059)  1 Ga 2.66, 4 Al 2.75
Al (0.3059, 0.3059, 0.0000)  1 Ga 2.66, 4 Al 2.75
Al (0.5000, 0.2500, 0.7500)  8 Al 2.75-3.07, 4 Er 3.07
Al (0.5000, 0.7500, 0.2500)  8 Al 2.75-3.07, 4 Er 3.07
Al (0.6941, 0.0000, 0.6941)  1 Ga 2.66, 4 Al 2.75
Al (0.6941, 0.6941, 0.0000)  1 Ga 2.66, 4 Al 2.75
Al (0.7500, 0.2500, 0.5000)  8 Al 2.75-3.07, 4 Er 3.07
Al (0.7500, 0.5000, 0.2500)  8 Al 2.75-3.07, 4 Er 3.07
Ga (0.0000, 0.0000, 0.0000)  6 Al 2.66

[8]
Compound: Er2AlGa9
Source: the Alexandria database
Functional: PBE-GGA
Structure: relaxed

Summary:
- SG: P4/mmm (123)

Unit cell a=4.2196 b=4.2196 c=12.6848 alpha=90.00 beta=90.00 gamma=90.00
Last column: nearest neighbours and their distance in Å.
Fractional positions:
Er (0.0000, 0.0000, 0.1673)  12 Ga 2.98-3.07
Er (0.0000, 0.0000, 0.8327)  12 Ga 2.98-3.07
Al (0.0000, 0.0000, 0.5000)  12 Ga 2.90-2.98
Ga (0.0000, 0.5000, 0.0000)  8 Ga 2.98, 4 Er 2.99
Ga (0.0000, 0.5000, 0.3434)  2 Al 2.90, 8 Ga 2.90-3.09, 2 Er 3.07
Ga (0.0000, 0.5000, 0.6566)  2 Al 2.90, 8 Ga 2.90-3.09, 2 Er 3.07
Ga (0.5000, 0.0000, 0.0000)  8 Ga 2.98, 4 Er 2.99
Ga (0.5000, 0.0000, 0.3434)  2 Al 2.90, 8 Ga 2.90-3.09, 2 Er 3.07
Ga (0.5000, 0.0000, 0.6566)  2 Al 2.90, 8 Ga 2.90-3.09, 2 Er 3.07
Ga (0.5000, 0.5000, 0.1659)  8 Ga 2.98-3.09, 4 Er 2.98
Ga (0.5000, 0.5000, 0.5000)  8 Ga 2.90, 4 Al 2.98
Ga (0.5000, 0.5000, 0.8341)  8 Ga 2.98-3.09, 4 Er 2.98

What did we get for M_tot? Answer: 0.0, 0.0, 0.0, 0.0, 0.0, 0.0, 0.0, 0.0 μB/f.u., in the order shown.
What did we get for DFT total energy? Answer: -4.394, -4.074, -3.984, -4.096, -4.358, -4.508, -4.237, -3.656 eV per atom, in the order shown.